# 1
! TlVHgCl4 | Alexandria via LeMat-Bulk | PBE-GGA | relaxed; values from VASP
&SYSTEM
  ibrav = 0, nat = 14, ntyp = 4
/
ATOMIC_SPECIES
Tl 204.38 Tl.upf
V 50.94 V.upf
Hg 200.59 Hg.upf
Cl 35.45 Cl.upf
ATOMIC_POSITIONS crystal
Tl 0.7449 0.7500 0.3780
Tl 0.2551 0.2500 0.6220
V 0.2286 0.7500 0.3310
V 0.7714 0.2500 0.6690
Hg 0.7229 0.7500 0.9829
Hg 0.2771 0.2500 0.0171
Cl 0.9362 0.4950 0.6855
Cl 0.0638 0.9950 0.3145
Cl 0.0638 0.5050 0.3145
Cl 0.9362 0.0050 0.6855
Cl 0.3580 0.7500 0.1468
Cl 0.6420 0.2500 0.8532
Cl 0.4201 0.7500 0.5642
Cl 0.5799 0.2500 0.4358
CELL_PARAMETERS angstrom
-5.0260 -0.4335 -6.6877
-5.5987 -1.8678 4.3287
-0.4615 8.4171 3.0349
! Formation energy (no corrections)   -0.95 eV per atom
! Space group   No. 11

# 2
! Y2TaTe | Alexandria via LeMat-Bulk | PBE-GGA | relaxed; values from VASP
&SYSTEM
  ibrav = 0, nat = 4, ntyp = 3
/
ATOMIC_SPECIES
Ta 180.95 Ta.upf
Te 127.60 Te.upf
Y 88.91 Y.upf
ATOMIC_POSITIONS crystal
Ta 0.4854 0.4854 0.0000
Te 0.2834 0.7834 0.5000
Y 0.0058 0.0058 0.0000
Y 0.7254 0.2254 0.5000
CELL_PARAMETERS angstrom
6.3676 0.0151 0.0000
3.1332 5.5434 0.0000
-4.1140 -3.8670 2.9441
! Formation energy (no corrections)   -0.11 eV per atom
! Space group   No. 44

# 3
! KAsRu2 | Alexandria via LeMat-Bulk | PBE-GGA | relaxed; values from VASP
&SYSTEM
  ibrav = 0, nat = 4, ntyp = 3
/
ATOMIC_SPECIES
As 74.92 As.upf
K 39.10 K.upf
Ru 101.07 Ru.upf
ATOMIC_POSITIONS crystal
As 0.5000 0.5000 0.2500
K 0.5000 0.5000 0.7500
Ru 0.0000 0.0000 0.0576
Ru 0.0000 0.0000 0.4424
CELL_PARAMETERS angstrom
2.9996 0.0017 0.0000
-1.3324 2.6874 0.0000
0.0000 0.0000 9.2746
! Raw total energy   -21.613 eV for the cell shown
! Space group   No. 65

# 4
! LaNiTe2 | Alexandria via LeMat-Bulk | PBE-GGA | relaxed; values from VASP
&SYSTEM
  ibrav = 0, nat = 4, ntyp = 3
/
ATOMIC_SPECIES
La 138.91 La.upf
Ni 58.69 Ni.upf
Te 127.60 Te.upf
ATOMIC_POSITIONS crystal
La 0.0000 0.5527 0.5191
Ni 0.5000 0.9494 0.7264
Te 0.0000 0.8515 0.9237
Te 0.5000 0.1464 0.3309
CELL_PARAMETERS angstrom
4.2811 0.0000 0.0000
0.0000 4.3352 0.0037
0.0000 2.1561 6.3084
! Formation energy (no corrections)   -0.88 eV per atom
! Space group   No. 38

# 5
! NbAuBr3 | Alexandria via LeMat-Bulk | PBE-GGA | relaxed; values from VASP
&SYSTEM
  ibrav = 0, nat = 5, ntyp = 3
/
ATOMIC_SPECIES
Nb 92.91 Nb.upf
Au 196.97 Au.upf
Br 79.90 Br.upf
ATOMIC_POSITIONS crystal
Nb 0.0000 0.0000 0.0000
Au 0.5000 0.5000 0.5000
Br 0.0000 0.5000 0.0000
Br 0.0000 0.0000 0.5000
Br 0.5000 0.0000 0.0000
CELL_PARAMETERS angstrom
5.1414 0.0000 0.0000
0.0000 5.1414 0.0000
0.0000 0.0000 5.1414
! Formation energy (no corrections)   0.07 eV per atom
! Space group   No. 221

# 6
! BaAg4Bi4 | Alexandria via LeMat-Bulk | PBE-GGA | relaxed; values from VASP
&SYSTEM
  ibrav = 0, nat = 18, ntyp = 3
/
ATOMIC_SPECIES
Ba 137.33 Ba.upf
Ag 107.87 Ag.upf
Bi 208.98 Bi.upf
ATOMIC_POSITIONS crystal
Ba 0.0000 0.0000 0.0000
Ba 0.5000 0.5000 0.5000
Ag 0.6150 0.8601 0.2986
Ag 0.6150 0.1399 0.7014
Ag 0.1150 0.7986 0.6399
Ag 0.8850 0.3601 0.7986
Ag 0.8850 0.6399 0.2014
Ag 0.3850 0.2986 0.1399
Ag 0.3850 0.7014 0.8601
Ag 0.1150 0.2014 0.3601
Bi 0.3791 0.3683 0.8471
Bi 0.8791 0.6529 0.8683
Bi 0.3791 0.6317 0.1529
Bi 0.1209 0.1317 0.6529
Bi 0.6209 0.8471 0.6317
Bi 0.1209 0.8683 0.3471
Bi 0.8791 0.3471 0.1317
Bi 0.6209 0.1529 0.3683
CELL_PARAMETERS angstrom
-5.4844 2.5411 -0.4731
-1.7713 -5.2660 -7.7511
-3.6595 -6.8732 5.5059
! Raw total energy   -59.581 eV for the cell shown
! Space group   No. 86